Record 1
{
  "formula": "PBr2Cl",
  "functional": "GGA-PBEsol",
  "state": "optimized geometry",
  "m_tot_mub_per_fu": 0.0,
  "energy_ev_per_cell": -25.50,
  "formation_energy_uncorrected_kj_per_mol_atoms": -29.3,
  "lattice": [[12.218, 0.000, 0.000], [0.000, 3.603, 0.000], [-2.673, 0.000, 5.628]],
  "species": ["P", "P", "Br", "Br", "Br", "Br", "Cl", "Cl"],
  "frac_coords": [[0.000, 0.000, 0.000], [0.500, 0.500, 0.000], [0.152, 0.000, 0.898], [0.378, 0.000, 0.695], [0.652, 0.500, 0.898], [0.878, 0.500, 0.695], [0.084, 0.500, 0.290], [0.584, 0.000, 0.290]]
}

Record 2
{
  "formula": "PBrCl4",
  "functional": "GGA-PBEsol",
  "state": "optimized geometry",
  "m_tot_mub_per_fu": 1.2,
  "energy_ev_per_cell": -9.80,
  "formation_energy_uncorrected_kj_per_mol_atoms": 94.8,
  "lattice": [[0.000, 3.944, 3.944], [3.944, 0.000, 3.944], [3.944, 3.944, 0.000]],
  "species": ["P", "Br", "Cl", "Cl", "Cl", "Cl"],
  "frac_coords": [[0.000, 0.000, 0.000], [0.250, 0.250, 0.250], [0.124, 0.625, 0.625], [0.625, 0.124, 0.625], [0.625, 0.625, 0.124], [0.625, 0.625, 0.625]]
}

Record 3
{
  "formula": "P2PdBrCl",
  "functional": "GGA-PBEsol",
  "state": "optimized geometry",
  "m_tot_mub_per_fu": 0.2,
  "energy_ev_per_cell": -18.98,
  "formation_energy_uncorrected_kj_per_mol_atoms": 47.1,
  "lattice": [[4.654, 0.000, 0.000], [0.000, 4.654, 0.000], [0.000, 0.000, 4.769]],
  "species": ["P", "P", "Pd", "Br", "Cl"],
  "frac_coords": [[0.000, 0.500, 0.000], [0.500, 0.000, 0.000], [0.000, 0.000, 0.000], [0.500, 0.500, 0.500], [0.000, 0.000, 0.500]]
}